Compound: Tb2ScCd3
Source: Alexandria
Functional: PBE-GGA
Structure: relaxed

The structure in extended XYZ format:
```
6
Lattice="3.667 0.000 0.000 0.000 3.667 0.000 0.000 0.000 11.176" Properties=species:S:1:pos:R:3 pbc="T T T"
Tb 1.834 1.834 9.236
Tb 1.834 1.834 1.940
Sc 1.834 1.834 5.588
Cd 0.000 0.000 0.000
Cd 0.000 0.000 7.252
Cd 0.000 0.000 3.924
```

## Properties
- Density of states at the Fermi level: 6.441 states/eV/cell
- Calculated total energy: -20.16 eV/cell
- Energy of formation: -0.30 eV/atom

Compound: La12Tm3Sc
Source: Alexandria
Functional: PBE-GGA
Structure: relaxed

The structure in extended XYZ format:
```
16
Lattice="5.162 0.000 0.000 0.000 5.162 0.000 0.000 0.000 20.694" Properties=species:S:1:pos:R:3 pbc="T T T"
La 2.581 2.581 0.000
La 2.581 2.581 5.148
La 2.581 2.581 10.347
La 2.581 2.581 15.546
La 2.581 0.000 2.536
La 2.581 0.000 7.744
La 2.581 0.000 12.950
La 2.581 0.000 18.158
La 0.000 2.581 2.536
La 0.000 2.581 7.744
La 0.000 2.581 12.950
La 0.000 2.581 18.158
Tm 0.000 0.000 5.138
Tm 0.000 0.000 10.347
Tm 0.000 0.000 15.555
Sc 0.000 0.000 0.000
```

## Properties
- Density of states at the Fermi level: 20.301 states/eV/cell
- Calculated total energy: -78.64 eV/cell
- Energy of formation: 0.01 eV/atom

Compound: Ir3PdSe
Source: Alexandria
Functional: PBE-GGA
Structure: relaxed

The structure in extended XYZ format:
```
5
Lattice="-3.925 -2.196 -1.603 0.111 -2.943 3.759 -2.716 3.053 2.470" Properties=species:S:1:pos:R:3 pbc="T T T"
Ir 0.056 -1.471 1.879
Ir -1.358 1.526 1.235
Ir -1.963 -1.098 -0.802
Se -3.265 -1.043 2.313
Pd 0.000 0.000 0.000
```

## Properties
- Density of states at the Fermi level: 8.037 states/eV/cell
- Formation energy (no corrections): 2.20 eV/atom
- Distance to the lowest polymorph of the same formula: 423 kJ/mol of formula units
- Calculated total energy: -24.24 eV/cell

Compound: Th3CuBi
Source: Alexandria
Functional: PBE-GGA
Structure: relaxed

The structure in extended XYZ format:
```
10
Lattice="4.987 0.000 0.000 0.000 7.808 0.000 0.000 -3.904 7.646" Properties=species:S:1:pos:R:3 pbc="T T T"
Th 2.493 2.455 0.000
Th 0.000 3.904 5.466
Th 2.493 5.353 0.000
Th 2.493 1.952 3.823
Th 0.000 0.000 2.180
Th 2.493 -1.952 3.823
Cu 2.493 0.000 1.240
Cu 2.493 3.904 6.406
Bi 0.000 3.904 2.094
Bi 0.000 0.000 5.552
```

## Properties
- Density of states at the Fermi level: 10.343 states/eV/cell
- Calculated total energy: -60.97 eV/cell
- Energy of formation: -0.05 eV/atom

Which of these has the lowest density of states at the Fermi level?
Tb2ScCd3